[1]
A relaxed Sm3HoNi8 crystal, computed with PBE-GGA.

Structure (POSCAR):
```
Sm3HoNi8
1.0
2.553 1.474 8.363
-2.553 1.474 8.363
0.000 -2.948 8.363
Sm Ho Ni
3 1 8
Direct
0.000 0.000 0.000
0.125 0.125 0.125
0.624 0.624 0.624
0.500 0.500 0.500
0.062 0.062 0.561
0.062 0.561 0.062
0.065 0.562 0.562
0.312 0.312 0.312
0.561 0.062 0.062
0.562 0.065 0.562
0.562 0.562 0.065
0.813 0.813 0.813
```

Properties
Space-group type: No. 160

***

[2]
A relaxed SmHoNi crystal, computed with PBE-GGA.

Structure (POSCAR):
```
SmHoNi
1.0
-1.715 1.715 6.260
1.715 -1.715 6.260
1.715 1.715 -6.260
Sm Ho Ni
1 1 1
Direct
0.000 0.000 0.000
0.738 0.738 0.000
0.360 0.360 0.000
```

Properties
Energy above the most stable polymorph in this dataset in eV per atom: 0.051
Space-group type: No. 107

***

| no. | E_form (meV per atom) |
| --- | --- |
| 1 | -387 |
| 2 | -212 |